(1)
This record from Alexandria via LeMat-Bulk describes a relaxed structure of KTaP. The functional is PBE.

a = 3.7518 Å, b = 4.9509 Å, c = 14.6681 Å
α = 90.00°, β = 90.00°, γ = 90.00°
Positions (direct):
1 K 0.0000 0.0000 0.0000
2 K 0.0000 0.5000 0.5000
3 K 0.5000 0.0000 0.5000
4 K 0.5000 0.5000 0.0000
5 Ta 0.0000 0.0000 0.7206
6 Ta 0.0000 0.5000 0.2206
7 Ta 0.5000 0.0000 0.2206
8 Ta 0.5000 0.5000 0.7206
9 P 0.0000 0.0000 0.3278
10 P 0.0000 0.5000 0.8278
11 P 0.5000 0.0000 0.8278
12 P 0.5000 0.5000 0.3278

=====

(2)
This record from Alexandria via LeMat-Bulk describes a relaxed structure of KTaP. The functional is PBE.

a = 3.4565 Å, b = 3.4565 Å, c = 12.8469 Å
α = 90.00°, β = 90.00°, γ = 90.00°
Positions (direct):
1 K 0.0000 0.0000 0.0000
2 K 0.5000 0.5000 0.5000
3 Ta 0.0000 0.0000 0.2715
4 Ta 0.5000 0.5000 0.7715
5 P 0.0000 0.0000 0.7361
6 P 0.5000 0.5000 0.2361

=====

(3)
This record from Alexandria via LeMat-Bulk describes a relaxed structure of KTa2P. The functional is PBE.

a = 3.0894 Å, b = 3.0894 Å, c = 9.4020 Å
α = 90.00°, β = 90.00°, γ = 90.00°
Positions (direct):
1 K 0.0000 0.0000 0.0000
2 Ta 0.5000 0.5000 0.3491
3 Ta 0.5000 0.5000 0.6509
4 P 0.0000 0.0000 0.5000

=====

(4)
This record from Alexandria via LeMat-Bulk describes a relaxed structure of KTa2P. The functional is PBE.

a = 5.9988 Å, b = 10.6402 Å, c = 2.7378 Å
α = 90.00°, β = 114.44°, γ = 90.00°
Positions (direct):
1 K 0.0000 0.0000 0.0000
2 K 0.5000 0.5000 0.0000
3 Ta 0.2500 0.2500 0.0000
4 Ta 0.2500 0.7500 0.0000
5 Ta 0.7500 0.2500 0.0000
6 Ta 0.7500 0.7500 0.0000
7 P 0.0000 0.5000 0.0000
8 P 0.5000 0.0000 0.0000

=====

(5)
This record from Alexandria via LeMat-Bulk describes a relaxed structure of KTa2P. The functional is PBE.

a = 3.6226 Å, b = 4.9194 Å, c = 9.7234 Å
α = 90.00°, β = 90.00°, γ = 90.00°
Positions (direct):
1 K 0.0000 0.0000 0.0000
2 K 0.5000 0.5000 0.0000
3 Ta 0.0000 0.5000 0.3332
4 Ta 0.0000 0.5000 0.6668
5 Ta 0.5000 0.0000 0.3332
6 Ta 0.5000 0.0000 0.6668
7 P 0.0000 0.0000 0.5000
8 P 0.5000 0.5000 0.5000

=====

(6)
This record from Alexandria via LeMat-Bulk describes a relaxed structure of KTa2P. The functional is PBE.

a = 8.6817 Å, b = 3.2003 Å, c = 7.7087 Å
α = 90.00°, β = 103.96°, γ = 90.00°
Positions (direct):
1 K 0.0000 0.0000 0.0000
2 K 0.5000 0.5000 0.0000
3 Ta 0.1746 0.0000 0.6199
4 Ta 0.4267 0.0000 0.4512
5 Ta 0.6746 0.5000 0.6199
6 Ta 0.9267 0.5000 0.4512
7 P 0.1948 0.5000 0.3663
8 P 0.6948 0.0000 0.3663

=====

(7)
This record from Alexandria via LeMat-Bulk describes a relaxed structure of KTa2P. The functional is PBE.

a = 3.6588 Å, b = 4.7458 Å, c = 9.7155 Å
α = 90.00°, β = 90.00°, γ = 90.00°
Positions (direct):
1 K 0.0000 0.0000 0.0000
2 K 0.5000 0.5000 0.0000
3 Ta 0.0000 0.0000 0.5604
4 Ta 0.0000 0.5000 0.3404
5 Ta 0.5000 0.0000 0.3404
6 Ta 0.5000 0.5000 0.5604
7 P 0.0000 0.5000 0.7370
8 P 0.5000 0.0000 0.7370

=====

(8)
This record from Alexandria via LeMat-Bulk describes a relaxed structure of KTaP2. The functional is PBE.

a = 6.9467 Å, b = 6.9467 Å, c = 10.4772 Å
α = 90.00°, β = 90.00°, γ = 90.00°
Positions (direct):
1 K 0.0000 0.0000 0.0000
2 K 0.0000 0.5000 0.2500
3 K 0.5000 0.0000 0.7500
4 K 0.5000 0.5000 0.5000
5 Ta 0.0000 0.0000 0.5000
6 Ta 0.0000 0.5000 0.7500
7 Ta 0.5000 0.0000 0.2500
8 Ta 0.5000 0.5000 0.0000
9 P 0.1362 0.2500 0.6250
10 P 0.2500 0.6362 0.8750
11 P 0.2500 0.8638 0.3750
12 P 0.3638 0.2500 0.1250
13 P 0.6362 0.7500 0.1250
14 P 0.7500 0.1362 0.3750
15 P 0.7500 0.3638 0.8750
16 P 0.8638 0.7500 0.6250

=====

(9)
This record from Alexandria via LeMat-Bulk describes a relaxed structure of KTa2P. The functional is PBE.

a = 3.3369 Å, b = 3.3369 Å, c = 8.3718 Å
α = 90.00°, β = 90.00°, γ = 90.00°
Positions (direct):
1 K 0.0000 0.0000 0.0000
2 Ta 0.0000 0.0000 0.4322
3 Ta 0.5000 0.5000 0.6185
4 P 0.5000 0.5000 0.2997

=====

(10)
This record from Alexandria via LeMat-Bulk describes a relaxed structure of KTa2P. The functional is PBE.

a = 4.1176 Å, b = 4.1176 Å, c = 9.1382 Å
α = 90.00°, β = 90.00°, γ = 90.00°
Positions (direct):
1 K 0.0000 0.0000 0.0000
2 K 0.5000 0.5000 0.5000
3 Ta 0.0000 0.5000 0.2500
4 Ta 0.0000 0.5000 0.7500
5 Ta 0.5000 0.0000 0.2500
6 Ta 0.5000 0.0000 0.7500
7 P 0.0000 0.0000 0.5000
8 P 0.5000 0.5000 0.0000

=====

(11)
This record from Alexandria via LeMat-Bulk describes a relaxed structure of KTaP2. The functional is PBE.

a = 2.9488 Å, b = 5.1711 Å, c = 5.1700 Å
α = 90.00°, β = 90.27°, γ = 90.00°
Positions (direct):
1 K 0.0000 0.0000 0.0000
2 Ta 0.5000 0.5000 0.5000
3 P 0.5000 0.0000 0.5000
4 P 0.5000 0.5000 0.0000

=====

(12)
This record from Alexandria via LeMat-Bulk describes a relaxed structure of KTa2P. The functional is PBE.

a = 3.4927 Å, b = 3.4927 Å, c = 27.6313 Å
α = 90.00°, β = 90.00°, γ = 120.00°
Positions (direct):
1 K 0.0000 0.0000 0.0000
2 K 0.3333 0.6667 0.6667
3 K 0.6667 0.3333 0.3333
4 Ta 0.0000 0.0000 0.2136
5 Ta 0.0000 0.0000 0.7864
6 Ta 0.3333 0.6667 0.4531
7 Ta 0.3333 0.6667 0.8802
8 Ta 0.6667 0.3333 0.1198
9 Ta 0.6667 0.3333 0.5469
10 P 0.0000 0.0000 0.5000
11 P 0.3333 0.6667 0.1667
12 P 0.6667 0.3333 0.8333

=====

(13)
This record from Alexandria via LeMat-Bulk describes a relaxed structure of KTaP2. The functional is PBE.

a = 6.6575 Å, b = 6.6575 Å, c = 6.6575 Å
α = 90.00°, β = 90.00°, γ = 90.00°
Positions (direct):
1 K 0.0000 0.0000 0.0000
2 K 0.0000 0.5000 0.5000
3 K 0.5000 0.0000 0.5000
4 K 0.5000 0.5000 0.0000
5 Ta 0.0000 0.0000 0.5000
6 Ta 0.0000 0.5000 0.0000
7 Ta 0.5000 0.0000 0.0000
8 Ta 0.5000 0.5000 0.5000
9 P 0.2500 0.2500 0.2500
10 P 0.2500 0.2500 0.7500
11 P 0.2500 0.7500 0.2500
12 P 0.2500 0.7500 0.7500
13 P 0.7500 0.2500 0.2500
14 P 0.7500 0.2500 0.7500
15 P 0.7500 0.7500 0.2500
16 P 0.7500 0.7500 0.7500

=====

(14)
This record from Alexandria via LeMat-Bulk describes a relaxed structure of KTa2P. The functional is PBE.

a = 5.0090 Å, b = 5.0090 Å, c = 17.9783 Å
α = 90.00°, β = 90.00°, γ = 90.00°
Positions (direct):
1 K 0.0000 0.2500 0.3750
2 K 0.0000 0.7500 0.6250
3 K 0.5000 0.2500 0.1250
4 K 0.5000 0.7500 0.8750
5 Ta 0.0000 0.0000 0.0000
6 Ta 0.0000 0.5000 0.0000
7 Ta 0.2500 0.2500 0.7500
8 Ta 0.2500 0.7500 0.2500
9 Ta 0.5000 0.0000 0.5000
10 Ta 0.5000 0.5000 0.5000
11 Ta 0.7500 0.2500 0.7500
12 Ta 0.7500 0.7500 0.2500
13 P 0.0000 0.2500 0.8750
14 P 0.0000 0.7500 0.1250
15 P 0.5000 0.2500 0.6250
16 P 0.5000 0.7500 0.3750

=====

(15)
This record from Alexandria via LeMat-Bulk describes a relaxed structure of KTaP3. The functional is PBE.

a = 4.8960 Å, b = 4.8960 Å, c = 4.8960 Å
α = 90.00°, β = 90.00°, γ = 90.00°
Positions (direct):
1 K 0.0000 0.0000 0.0000
2 Ta 0.5000 0.5000 0.5000
3 P 0.0000 0.5000 0.5000
4 P 0.5000 0.0000 0.5000
5 P 0.5000 0.5000 0.0000

=====

| no. | ρ (g/cm3) | formation energy from the elements (eV per atom) |
| --- | --- | --- |
| 1 | 6.12 | 0.26 |
| 2 | 5.43 | 0.08 |
| 3 | 7.99 | 0.35 |
| 4 | 9.02 | 1.00 |
| 5 | 8.28 | 0.41 |
| 6 | 6.90 | 0.30 |
| 7 | 8.50 | 0.17 |
| 8 | 3.70 | -0.29 |
| 9 | 7.69 | 0.13 |
| 10 | 9.26 | 1.16 |
| 11 | 5.94 | 0.17 |
| 12 | 7.37 | 0.37 |
| 13 | 6.35 | 0.44 |
| 14 | 6.36 | 0.93 |
| 15 | 4.43 | -0.10 |